1.
Here is a relaxed Ce3U crystal from the Alexandria database. Energies are from PBE-GGA.

Summary:
- Fermi-level density of states: 11.6 states/eV per cell
- Energy relative to the elements: 0.19 eV/atom
- Offset from the most stable computed form: 0.73 kcal/mol of atoms
- Symmetry: I4/mmm (139)

Cell: 4.622 4.622 5.662 Å, 114.09 114.09 90.00°
Fractional positions:
U  0.000  0.000  0.000
Ce  0.250  0.750  0.500
Ce  0.500  0.500  0.000
Ce  0.750  0.250  0.500


2.
Here is a relaxed Ce2UZn crystal from the Alexandria database. Energies are from PBE-GGA.

Summary:
- Fermi-level density of states: 10.1 states/eV per cell
- Energy relative to the elements: 0.31 eV/atom
- Offset from the most stable computed form: 6.21 kcal/mol of atoms
- Symmetry: R-3m (166)

Cell: 2.988 2.988 12.200 Å, 82.97 82.97 60.00°
Fractional positions:
Ce  0.914  0.914  0.258
Zn  0.000  0.000  0.000
U  0.500  0.500  0.500
Ce  0.086  0.086  0.742


3.
Here is a relaxed Ce2UZn crystal from the Alexandria database. Energies are from PBE-GGA.

Summary:
- Fermi-level density of states: 9.4 states/eV per cell
- Energy relative to the elements: 0.04 eV/atom
- Offset from the most stable computed form: 0.00 kcal/mol of atoms
- Symmetry: P4/mmm (123)

Cell: 2.961 2.961 10.024 Å, 90.00 90.00 90.00°
Fractional positions:
U  0.500  0.500  0.000
Ce  0.000  0.000  0.741
Zn  0.500  0.500  0.500
Ce  0.000  0.000  0.259


4.
Here is a relaxed CeUZn4 crystal from the Alexandria database. Energies are from PBE-GGA.

Summary:
- Fermi-level density of states: 12.6 states/eV per cell
- Energy relative to the elements: -0.06 eV/atom
- Symmetry: F-43m (216)

Cell: 5.442 5.442 5.442 Å, 60.00 60.00 60.00°
Fractional positions:
Zn  0.124  0.625  0.625
Zn  0.625  0.124  0.625
Ce  0.250  0.250  0.250
Zn  0.625  0.625  0.625
Zn  0.625  0.625  0.124
U  0.000  0.000  0.000


5.
Here is a relaxed CeUZn17 crystal from the Alexandria database. Energies are from PBE-GGA.

Summary:
- Fermi-level density of states: 16.9 states/eV per cell
- Energy relative to the elements: -0.13 eV/atom
- Symmetry: R3m (160)

Cell: 6.813 6.813 6.813 Å, 82.56 82.56 82.56°
Fractional positions:
Zn  0.500  0.000  0.000
Zn  0.001  0.703  0.296
Zn  0.351  0.842  0.351
Zn  0.000  0.500  0.000
Ce  0.663  0.663  0.663
U  0.336  0.336  0.336
Zn  0.000  0.000  0.500
Zn  0.842  0.351  0.351
Zn  0.163  0.646  0.646
Zn  0.001  0.296  0.703
Zn  0.101  0.101  0.101
Zn  0.703  0.296  0.001
Zn  0.703  0.001  0.296
Zn  0.296  0.703  0.001
Zn  0.351  0.351  0.842
Zn  0.646  0.646  0.163
Zn  0.901  0.901  0.901
Zn  0.296  0.001  0.703
Zn  0.646  0.163  0.646


6.
Here is a relaxed Ce2UZn crystal from the Alexandria database. Energies are from PBE-GGA.

Summary:
- Fermi-level density of states: 12.0 states/eV per cell
- Energy relative to the elements: 0.19 eV/atom
- Offset from the most stable computed form: 3.45 kcal/mol of atoms
- Symmetry: P4/mmm (123)

Cell: 4.235 4.706 4.706 Å, 90.00 90.00 90.00°
Fractional positions:
Ce  0.000  0.500  0.000
Ce  0.000  0.000  0.500
Zn  0.500  0.000  0.000
U  0.500  0.500  0.500


7.
Here is a relaxed CeZrU crystal from the Alexandria database. Energies are from PBE-GGA.

Summary:
- Fermi-level density of states: 6.6 states/eV per cell
- Energy relative to the elements: 0.48 eV/atom
- Offset from the most stable computed form: 4.24 kcal/mol of atoms
- Symmetry: I4mm (107)

Cell: 2.843 2.843 8.681 Å, 99.43 99.43 90.00°
Fractional positions:
U  0.945  0.945  0.890
Ce  0.787  0.787  0.575
Zr  0.118  0.118  0.235


8.
Here is a relaxed CeZrU crystal from the Alexandria database. Energies are from PBE-GGA.

Summary:
- Fermi-level density of states: 7.9 states/eV per cell
- Energy relative to the elements: 0.33 eV/atom
- Offset from the most stable computed form: 0.89 kcal/mol of atoms
- Symmetry: P-6m2 (187)

Cell: 3.021 5.312 5.312 Å, 120.00 90.00 90.00°
Fractional positions:
U  0.166  0.333  0.667
Zr  0.167  0.000  0.000
Ce  0.667  0.667  0.333


9.
Here is a relaxed CeZrU crystal from the Alexandria database. Energies are from PBE-GGA.

Summary:
- Fermi-level density of states: 48.0 states/eV per cell
- Energy relative to the elements: 0.29 eV/atom
- Offset from the most stable computed form: 0.00 kcal/mol of atoms
- Symmetry: R-3m (166)

Cell: 5.889 5.889 14.462 Å, 78.25 78.25 60.00°
Fractional positions:
Zr  0.179  0.179  0.463
Zr  0.962  0.962  0.113
Ce  0.213  0.731  0.325
U  0.390  0.390  0.831
Ce  0.731  0.731  0.325
U  0.000  0.500  0.000
Zr  0.038  0.038  0.887
Zr  0.730  0.730  0.811
U  0.500  0.500  0.000
Ce  0.787  0.269  0.675
U  0.610  0.610  0.169
Ce  0.269  0.269  0.675
Ce  0.269  0.787  0.675
Zr  0.270  0.270  0.189
Ce  0.731  0.213  0.325
Zr  0.821  0.821  0.537
U  0.500  0.500  0.500
U  0.500  0.000  0.000


10.
Here is a relaxed CeZr2U crystal from the Alexandria database. Energies are from PBE-GGA.

Summary:
- Fermi-level density of states: 9.2 states/eV per cell
- Energy relative to the elements: 0.23 eV/atom
- Offset from the most stable computed form: 0.00 kcal/mol of atoms
- Symmetry: R-3m (166)

Cell: 3.156 3.156 11.258 Å, 81.94 81.94 60.00°
Fractional positions:
Zr  0.748  0.748  0.757
Zr  0.252  0.252  0.243
U  0.000  0.000  0.000
Ce  0.500  0.500  0.500


11.
Here is a relaxed CeZr2U crystal from the Alexandria database. Energies are from PBE-GGA.

Summary:
- Fermi-level density of states: 11.0 states/eV per cell
- Energy relative to the elements: 0.34 eV/atom
- Offset from the most stable computed form: 2.70 kcal/mol of atoms
- Symmetry: P4/mmm (123)

Cell: 3.521 3.521 8.040 Å, 90.00 90.00 90.00°
Fractional positions:
Zr  0.000  0.000  0.790
U  0.500  0.500  0.000
Zr  0.000  0.000  0.210
Ce  0.500  0.500  0.500


12.
Here is a relaxed CeV5 crystal from the Alexandria database. Energies are from PBE-GGA.

Summary:
- Fermi-level density of states: 8.8 states/eV per cell
- Energy relative to the elements: 0.23 eV/atom
- Symmetry: Cmmm (65)

Cell: 3.077 4.381 6.973 Å, 108.31 90.00 90.00°
Fractional positions:
Ce  0.000  0.000  0.000
V  0.500  0.827  0.655
V  0.000  0.323  0.646
V  0.500  0.173  0.345
V  0.000  0.677  0.354
V  0.500  0.500  0.000


13.
Here is a relaxed Ce5V crystal from the Alexandria database. Energies are from PBE-GGA.

Summary:
- Fermi-level density of states: 13.4 states/eV per cell
- Energy relative to the elements: 0.19 eV/atom
- Symmetry: Cmmm (65)

Cell: 4.499 4.489 7.484 Å, 107.45 90.00 90.00°
Fractional positions:
Ce  0.000  0.331  0.662
Ce  0.000  0.669  0.338
V  0.000  0.000  0.000
Ce  0.500  0.500  0.000
Ce  0.500  0.843  0.687
Ce  0.500  0.157  0.313


14.
Here is a relaxed CeV3 crystal from the Alexandria database. Energies are from PBE-GGA.

Summary:
- Fermi-level density of states: 7.8 states/eV per cell
- Energy relative to the elements: 0.40 eV/atom
- Symmetry: Pmmm (47)

Cell: 3.139 4.484 4.510 Å, 90.00 90.00 90.00°
Fractional positions:
V  0.500  0.000  0.416
Ce  0.000  0.500  0.417
V  0.500  0.500  0.917
V  0.000  0.000  0.917


15.
Here is a relaxed CeVW crystal from the Alexandria database. Energies are from PBE-GGA.

Summary:
- Fermi-level density of states: 8.4 states/eV per cell
- Energy relative to the elements: 0.38 eV/atom
- Symmetry: P-1 (2)

Cell: 2.901 5.630 6.869 Å, 103.66 94.85 77.79°
Fractional positions:
V  0.500  0.000  0.500
W  0.694  0.144  0.191
V  0.000  0.500  0.500
Ce  0.186  0.654  0.174
Ce  0.814  0.346  0.826
W  0.306  0.856  0.809


16.
Here is a relaxed CeYV crystal from the Alexandria database. Energies are from PBE-GGA.

Summary:
- Fermi-level density of states: 12.1 states/eV per cell
- Energy relative to the elements: 0.27 eV/atom
- Symmetry: C2/m (12)

Cell: 3.335 7.313 6.668 Å, 72.92 75.52 76.82°
Fractional positions:
Y  0.591  0.251  0.567
Ce  0.865  0.193  0.077
Ce  0.135  0.807  0.923
V  0.836  0.489  0.838
V  0.164  0.511  0.162
Y  0.409  0.749  0.433


17.
Here is a relaxed CeYV4 crystal from the Alexandria database. Energies are from PBE-GGA.

Summary:
- Fermi-level density of states: 7.6 states/eV per cell
- Energy relative to the elements: 0.29 eV/atom
- Symmetry: F-43m (216)

Cell: 5.344 5.344 5.344 Å, 60.00 60.00 60.00°
Fractional positions:
V  0.623  0.623  0.623
V  0.623  0.623  0.131
V  0.131  0.623  0.623
Y  0.000  0.000  0.000
Ce  0.250  0.250  0.250
V  0.623  0.131  0.623


18.
Here is a relaxed Ce2YV crystal from the Alexandria database. Energies are from PBE-GGA.

Summary:
- Fermi-level density of states: 9.9 states/eV per cell
- Energy relative to the elements: 0.51 eV/atom
- Symmetry: R-3m (166)

Cell: 3.185 3.185 11.427 Å, 81.99 81.99 60.00°
Fractional positions:
Y  0.500  0.500  0.500
V  0.000  0.000  0.000
Ce  0.074  0.074  0.779
Ce  0.926  0.926  0.221


19.
Here is a relaxed CeVZn crystal from the Alexandria database. Energies are from PBE-GGA.

Summary:
- Fermi-level density of states: 11.9 states/eV per cell
- Energy relative to the elements: 0.35 eV/atom
- Symmetry: R-3m (166)

Cell: 4.447 4.447 7.952 Å, 73.76 73.76 60.00°
Fractional positions:
Zn  0.824  0.824  0.529
Ce  0.417  0.417  0.750
Zn  0.176  0.176  0.471
Ce  0.583  0.583  0.250
V  0.682  0.682  0.953
V  0.318  0.318  0.047


20.
Here is a relaxed CeVZn4 crystal from the Alexandria database. Energies are from PBE-GGA.

Summary:
- Fermi-level density of states: 2.9 states/eV per cell
- Energy relative to the elements: -0.12 eV/atom
- Symmetry: F-43m (216)

Cell: 5.265 5.265 5.265 Å, 60.00 60.00 60.00°
Fractional positions:
V  0.000  0.000  0.000
Zn  0.122  0.626  0.626
Zn  0.626  0.626  0.626
Ce  0.250  0.250  0.250
Zn  0.626  0.122  0.626
Zn  0.626  0.626  0.122


21.
Here is a relaxed CeZr2V crystal from the Alexandria database. Energies are from PBE-GGA.

Summary:
- Fermi-level density of states: 7.9 states/eV per cell
- Energy relative to the elements: 0.16 eV/atom
- Offset from the most stable computed form: 0.00 kcal/mol of atoms
- Symmetry: P4/mmm (123)

Cell: 3.305 3.305 7.984 Å, 90.00 90.00 90.00°
Fractional positions:
Zr  0.000  0.000  0.202
Zr  0.000  0.000  0.798
V  0.500  0.500  0.000
Ce  0.500  0.500  0.500


22.
Here is a relaxed CeZr2V crystal from the Alexandria database. Energies are from PBE-GGA.

Summary:
- Fermi-level density of states: 7.3 states/eV per cell
- Energy relative to the elements: 0.31 eV/atom
- Offset from the most stable computed form: 3.28 kcal/mol of atoms
- Symmetry: R-3m (166)

Cell: 3.106 3.106 10.637 Å, 81.60 81.60 60.00°
Fractional positions:
Zr  0.097  0.097  0.709
Zr  0.903  0.903  0.291
V  0.500  0.500  0.500
Ce  0.000  0.000  0.000


23.
Here is a relaxed CeY2 crystal from the Alexandria database. Energies are from PBE-GGA.

Summary:
- Fermi-level density of states: 6.9 states/eV per cell
- Energy relative to the elements: 0.08 eV/atom
- Symmetry: I4/mmm (139)

Cell: 3.542 3.542 7.956 Å, 102.86 102.86 90.00°
Fractional positions:
Y  0.337  0.337  0.673
Y  0.663  0.663  0.327
Ce  0.000  0.000  0.000


24.
Here is a relaxed Ce3Y13 crystal from the Alexandria database. Energies are from PBE-GGA.

Summary:
- Fermi-level density of states: 32.8 states/eV per cell
- Energy relative to the elements: 0.04 eV/atom
- Symmetry: Amm2 (38)

Cell: 7.182 8.469 8.469 Å, 94.88 90.00 90.00°
Fractional positions:
Y  0.500  0.793  0.207
Ce  0.000  0.276  0.724
Y  0.252  0.539  0.461
Ce  0.193  0.056  0.944
Y  0.751  0.461  0.047
Y  0.000  0.210  0.303
Y  0.249  0.953  0.539
Y  0.000  0.795  0.205
Ce  0.807  0.056  0.944
Y  0.500  0.722  0.798
Y  0.748  0.539  0.461
Y  0.000  0.697  0.790
Y  0.500  0.287  0.713
Y  0.751  0.953  0.539
Y  0.500  0.202  0.278
Y  0.249  0.461  0.047


25.
Here is a relaxed CeY8 crystal from the Alexandria database. Energies are from PBE-GGA.

Summary:
- Fermi-level density of states: 15.9 states/eV per cell
- Energy relative to the elements: 0.05 eV/atom
- Symmetry: I4/mmm (139)

Cell: 5.066 7.987 7.987 Å, 84.23 71.51 71.51°
Fractional positions:
Y  0.335  0.330  0.000
Y  0.335  0.000  0.330
Y  0.665  0.000  0.670
Y  0.668  0.332  0.332
Y  0.000  0.668  0.332
Y  0.665  0.670  0.000
Y  0.332  0.668  0.668
Y  0.000  0.332  0.668
Ce  0.000  0.000  0.000


26.
Here is a relaxed CeY5Zn6 crystal from the Alexandria database. Energies are from PBE-GGA.

Summary:
- Fermi-level density of states: 18.3 states/eV per cell
- Energy relative to the elements: -0.32 eV/atom
- Symmetry: Cmmm (65)

Cell: 5.073 7.189 8.015 Å, 90.00 71.55 90.00°
Fractional positions:
Zn  0.168  0.746  0.663
Zn  0.168  0.254  0.663
Y  0.000  0.500  0.000
Zn  0.832  0.746  0.337
Y  0.667  0.000  0.667
Ce  0.000  0.000  0.000
Zn  0.832  0.254  0.337
Y  0.664  0.500  0.672
Y  0.336  0.500  0.328
Y  0.333  0.000  0.333
Zn  0.500  0.748  0.000
Zn  0.500  0.252  0.000